[1]
DFT (PBE) results for a relaxed Sc5Sb4H crystal.

Geometry as extended XYZ:
```
10
Lattice="-4.549 4.549 2.920 4.549 -4.549 2.920 4.549 4.549 -2.920" Properties=species:S:1:pos:R:3 pbc="T T T"
Sc 0.000 0.000 0.000
Sc 3.625 1.821 -0.586
Sc 2.728 -0.924 2.334
Sc 1.821 5.473 -0.586
Sc 0.924 2.728 2.334
Sb 5.442 -1.848 2.338
Sb 3.656 1.848 2.338
Sb -1.848 3.656 2.338
Sb 1.848 5.442 2.338
H 0.000 0.000 2.072
```

Results
calculated volume = 241.7 Å³/f.u.
D(E_F) = 5.72 states/eV/cell
calculated total energy = -5.847 eV per atom

=====

[2]
DFT (PBE) results for a relaxed ScSb3H crystal.

Geometry as extended XYZ:
```
5
Lattice="4.726 0.000 0.000 0.000 4.726 0.000 0.000 0.000 4.726" Properties=species:S:1:pos:R:3 pbc="T T T"
Sc 0.000 0.000 0.000
Sb 0.000 2.363 2.363
Sb 2.363 0.000 2.363
Sb 2.363 2.363 0.000
H 2.363 2.363 2.363
```

Results
calculated volume = 105.6 Å³/f.u.
energy relative to the lowest polymorph listed for this composition = 0.000 eV per atom
D(E_F) = 2.22 states/eV/cell
calculated total energy = -4.308 eV per atom

=====

[3]
DFT (PBE) results for a relaxed Sc4Sb5H crystal.

Geometry as extended XYZ:
```
10
Lattice="8.743 -1.629 0.000 8.743 1.629 0.000 -0.926 0.000 8.423" Properties=species:S:1:pos:R:3 pbc="T T T"
Sc -0.137 0.000 2.597
Sc 5.495 0.000 3.492
Sc 11.065 0.000 4.930
Sc 16.696 0.000 5.826
Sb 1.817 0.000 7.369
Sb 2.741 0.000 2.497
Sb 8.743 0.000 0.000
Sb 13.818 0.000 5.925
Sb 14.742 0.000 1.054
H 8.280 0.000 4.211
```

Results
calculated volume = 239.9 Å³/f.u.
D(E_F) = 7.83 states/eV/cell
calculated total energy = -5.275 eV per atom